Mn2PdF6: relaxed, PBE+U.

a b c (Å): 5.005 5.005 10.149
angles (deg): 90.00 90.00 90.00
Sites, in units of the cell vectors:
Mn 0.000 0.000 0.167
Mn 0.000 0.000 0.833
Mn 0.500 0.500 0.333
Mn 0.500 0.500 0.667
Pd 0.000 0.000 0.500
Pd 0.500 0.500 0.000
F 0.190 0.190 0.000
F 0.197 0.197 0.329
F 0.197 0.197 0.671
F 0.303 0.697 0.171
F 0.303 0.697 0.829
F 0.310 0.690 0.500
F 0.690 0.310 0.500
F 0.697 0.303 0.171
F 0.697 0.303 0.829
F 0.803 0.803 0.329
F 0.803 0.803 0.671
F 0.810 0.810 0.000

Computed properties:
- Energy: -5.627 eV per atom